[1]
The following is a DFT calculation (GGA-PBEsol) of a relaxed Y2BeBr crystal.

Properties
Energy above the most stable polymorph in this dataset (meV/atom): 0
Uncorrected formation energy (meV/atom): -224

Structure (POSCAR):
```
Y2BeBr
1.0
0.000 3.518 3.518
3.518 0.000 3.518
3.518 3.518 0.000
Y Be Br
2 1 1
direct
0.250 0.250 0.250
0.750 0.750 0.750
0.000 0.000 0.000
0.500 0.500 0.500
```


[2]
The following is a DFT calculation (GGA-PBEsol) of a relaxed YBeBr crystal.

Properties
Energy above the most stable polymorph in this dataset (meV/atom): 484
Uncorrected formation energy (meV/atom): 334

Structure (POSCAR):
```
YBeBr
1.0
0.000 3.250 3.250
3.250 0.000 3.250
3.250 3.250 0.000
Y Be Br
1 1 1
direct
0.000 0.000 0.000
0.250 0.250 0.250
0.500 0.500 0.500
```


[3]
The following is a DFT calculation (GGA-PBEsol) of a relaxed Be2ZnBr crystal.

Properties
Uncorrected formation energy (meV/atom): 312

Structure (POSCAR):
```
Be2ZnBr
1.0
3.066 0.000 0.000
0.000 3.024 0.000
-0.057 0.000 7.044
Be Zn Br
2 1 1
direct
0.000 0.000 0.000
0.498 0.500 0.806
0.995 0.000 0.651
0.005 0.500 0.219
```


[4]
The following is a DFT calculation (GGA-PBEsol) of a relaxed BeZn2Br crystal.

Properties
Energy above the most stable polymorph in this dataset (meV/atom): 68
Uncorrected formation energy (meV/atom): 278

Structure (POSCAR):
```
BeZn2Br
1.0
2.617 0.000 0.000
0.000 3.328 0.000
0.000 0.000 7.733
Be Zn Br
1 2 1
direct
0.000 0.000 0.000
0.500 0.500 0.173
0.500 0.500 0.827
0.000 0.000 0.500
```


[5]
The following is a DFT calculation (GGA-PBEsol) of a relaxed BeZn2Br crystal.

Properties
Energy above the most stable polymorph in this dataset (meV/atom): 98
Uncorrected formation energy (meV/atom): 308

Structure (POSCAR):
```
BeZn2Br
1.0
3.060 0.000 0.000
0.000 3.060 0.000
0.000 0.000 7.308
Be Zn Br
1 2 1
direct
0.000 0.000 0.000
0.000 0.000 0.583
0.500 0.500 0.786
0.500 0.500 0.186
```


[6]
The following is a DFT calculation (GGA-PBEsol) of a relaxed BeZn2Br crystal.

Properties
Energy above the most stable polymorph in this dataset (meV/atom): 265
Uncorrected formation energy (meV/atom): 475

Structure (POSCAR):
```
BeZn2Br
1.0
3.357 0.000 0.000
0.000 3.647 0.000
0.000 0.000 5.797
Be Zn Br
1 2 1
direct
0.000 0.000 0.000
0.000 0.500 0.500
0.500 0.000 0.500
0.500 0.500 0.000
```


[7]
The following is a DFT calculation (GGA-PBEsol) of a relaxed BeZn2Br crystal.

Properties
Energy above the most stable polymorph in this dataset (meV/atom): 0
Uncorrected formation energy (meV/atom): 210

Structure (POSCAR):
```
BeZn2Br
1.0
1.635 0.944 7.157
-1.635 0.944 7.157
0.000 -1.888 7.157
Be Zn Br
1 2 1
direct
0.000 0.000 0.000
0.262 0.262 0.262
0.738 0.738 0.738
0.500 0.500 0.500
```


[8]
The following is a DFT calculation (GGA-PBEsol) of a relaxed ZrBeBr2 crystal.

Properties
Energy above the most stable polymorph in this dataset (meV/atom): 454
Uncorrected formation energy (meV/atom): 65

Structure (POSCAR):
```
ZrBeBr2
1.0
3.301 0.000 0.000
0.000 4.310 0.000
0.000 0.000 5.466
Zr Be Br
1 1 2
direct
0.000 0.000 0.000
0.500 0.000 0.500
0.000 0.500 0.500
0.500 0.500 0.000
```


[9]
The following is a DFT calculation (GGA-PBEsol) of a relaxed ZrBeBr2 crystal.

Properties
Energy above the most stable polymorph in this dataset (meV/atom): 103
Uncorrected formation energy (meV/atom): -286

Structure (POSCAR):
```
ZrBeBr2
1.0
4.611 -1.663 0.000
4.611 1.663 0.000
-1.690 0.000 6.586
Zr Be Br
1 1 2
direct
0.000 0.000 0.000
0.287 0.287 0.062
0.497 0.497 0.695
0.700 0.700 0.263
```


[10]
The following is a DFT calculation (GGA-PBEsol) of a relaxed ZrBe2Br crystal.

Properties
Uncorrected formation energy (meV/atom): 303

Structure (POSCAR):
```
ZrBe2Br
1.0
-1.929 1.929 4.055
1.929 -1.929 4.055
1.929 1.929 -4.055
Zr Be Br
1 2 1
direct
0.000 0.000 0.000
0.500 0.500 0.000
0.750 0.250 0.500
0.250 0.750 0.500
```


[11]
The following is a DFT calculation (GGA-PBEsol) of a relaxed ZrBeBr2 crystal.

Properties
Energy above the most stable polymorph in this dataset (meV/atom): 0
Uncorrected formation energy (meV/atom): -389

Structure (POSCAR):
```
ZrBeBr2
1.0
7.188 -1.644 0.000
7.188 1.644 0.000
-0.565 0.000 4.141
Zr Be Br
1 1 2
direct
0.000 0.000 0.000
0.500 0.500 0.500
0.352 0.352 0.809
0.648 0.648 0.191
```


[12]
The following is a DFT calculation (GGA-PBEsol) of a relaxed ZrBe3Br crystal.

Properties
Uncorrected formation energy (meV/atom): 1226

Structure (POSCAR):
```
ZrBe3Br
1.0
4.318 0.000 0.000
0.000 4.318 0.000
0.000 0.000 4.318
Zr Be Br
1 3 1
direct
0.000 0.000 0.000
0.000 0.500 0.500
0.500 0.000 0.500
0.500 0.500 0.000
0.500 0.500 0.500
```


[13]
The following is a DFT calculation (GGA-PBEsol) of a relaxed Be2C crystal.

Properties
Energy above the most stable polymorph in this dataset (meV/atom): 375

Structure (POSCAR):
```
Be2C
1.0
4.816 0.000 0.000
-2.408 4.170 0.000
0.000 0.000 2.911
Be C
6 3
direct
0.000 0.264 0.000
0.000 0.603 0.500
0.264 0.000 0.000
0.397 0.397 0.500
0.603 0.000 0.500
0.736 0.736 0.000
0.000 0.000 0.500
0.333 0.667 0.000
0.667 0.333 0.000
```


[14]
The following is a DFT calculation (GGA-PBEsol) of a relaxed Be7C crystal.

Structure (POSCAR):
```
Be7C
1.0
0.000 3.095 3.095
3.095 0.000 3.095
3.095 3.095 0.000
Be C
7 1
direct
0.000 0.000 0.000
0.000 0.000 0.500
0.000 0.500 0.000
0.000 0.500 0.500
0.500 0.000 0.000
0.500 0.000 0.500
0.500 0.500 0.000
0.500 0.500 0.500
```


[15]
The following is a DFT calculation (GGA-PBEsol) of a relaxed Be5C3 crystal.

Structure (POSCAR):
```
Be5C3
1.0
2.618 0.000 0.000
0.000 2.618 0.000
0.000 0.000 8.191
Be C
5 3
direct
0.000 0.000 0.000
0.000 0.000 0.255
0.000 0.000 0.745
0.500 0.500 0.388
0.500 0.500 0.612
0.000 0.000 0.500
0.500 0.500 0.175
0.500 0.500 0.825
```


[16]
The following is a DFT calculation (GGA-PBEsol) of a relaxed BeC3 crystal.

Properties
Energy above the most stable polymorph in this dataset (meV/atom): 0

Structure (POSCAR):
```
BeC3
1.0
4.463 0.000 0.000
-2.232 3.865 0.000
0.000 0.000 5.053
Be C
2 6
direct
0.333 0.667 0.250
0.667 0.333 0.750
0.123 0.562 0.750
0.438 0.562 0.750
0.438 0.877 0.750
0.562 0.123 0.250
0.562 0.438 0.250
0.877 0.438 0.250
```


[17]
The following is a DFT calculation (GGA-PBEsol) of a relaxed Be2C crystal.

Properties
Energy above the most stable polymorph in this dataset (meV/atom): 499

Structure (POSCAR):
```
Be2C
1.0
2.968 0.000 0.000
-1.484 2.570 0.000
0.000 0.000 3.874
Be C
2 1
direct
0.333 0.667 0.372
0.667 0.333 0.628
0.000 0.000 0.500
```


[18]
The following is a DFT calculation (GGA-PBEsol) of a relaxed BeC3 crystal.

Properties
Energy above the most stable polymorph in this dataset (meV/atom): 1249

Structure (POSCAR):
```
BeC3
1.0
2.715 0.000 0.000
0.000 2.715 0.000
0.000 0.000 3.936
Be C
1 3
direct
0.000 0.000 0.000
0.000 0.000 0.500
0.500 0.500 0.326
0.500 0.500 0.674
```


[19]
The following is a DFT calculation (GGA-PBEsol) of a relaxed Be2C crystal.

Properties
Energy above the most stable polymorph in this dataset (meV/atom): 0

Structure (POSCAR):
```
Be2C
1.0
0.000 2.157 2.157
2.157 0.000 2.157
2.157 2.157 0.000
Be C
2 1
direct
0.250 0.250 0.250
0.750 0.750 0.750
0.000 0.000 0.000
```


[20]
The following is a DFT calculation (GGA-PBEsol) of a relaxed BeC3 crystal.

Properties
Energy above the most stable polymorph in this dataset (meV/atom): 937

Structure (POSCAR):
```
BeC3
1.0
-1.252 1.559 3.912
1.252 -1.559 3.912
1.252 1.559 -3.912
Be C
1 3
direct
0.000 0.000 0.000
0.369 0.869 0.500
0.500 0.500 0.000
0.631 0.131 0.500
```


[21]
The following is a DFT calculation (GGA-PBEsol) of a relaxed BeC3 crystal.

Properties
Energy above the most stable polymorph in this dataset (meV/atom): 665

Structure (POSCAR):
```
BeC3
1.0
1.138 -3.437 0.000
1.138 3.437 0.000
0.000 0.000 5.022
Be C
1 3
direct
0.000 0.000 0.000
0.000 0.000 0.500
0.500 0.500 0.301
0.500 0.500 0.699
```


[22]
The following is a DFT calculation (GGA-PBEsol) of a relaxed BeCd3C crystal.

Structure (POSCAR):
```
BeCd3C
1.0
4.516 0.000 0.000
0.000 4.516 0.000
0.000 0.000 4.516
Be Cd C
1 3 1
direct
0.000 0.000 0.000
0.000 0.500 0.500
0.500 0.000 0.500
0.500 0.500 0.000
0.500 0.500 0.500
```


[23]
The following is a DFT calculation (GGA-PBEsol) of a relaxed BeCo2WC crystal.

Structure (POSCAR):
```
BeCo2WC
1.0
4.336 0.000 0.000
0.000 4.336 0.000
0.000 0.000 4.338
Be Co W C
1 2 1 1
direct
0.000 0.000 0.000
0.000 0.500 0.500
0.500 0.000 0.500
0.000 0.000 0.500
0.500 0.500 0.000
```


[24]
The following is a DFT calculation (GGA-PBEsol) of a relaxed BeCrIrC2 crystal.

Structure (POSCAR):
```
BeCrIrC2
1.0
3.582 0.000 0.000
0.000 3.582 0.000
0.000 0.000 3.858
Be Cr Ir C
1 1 1 2
direct
0.000 0.000 0.000
0.000 0.000 0.500
0.500 0.500 0.500
0.000 0.500 0.000
0.500 0.000 0.000
```


[25]
The following is a DFT calculation (GGA-PBEsol) of a relaxed BeCuC2 crystal.

Structure (POSCAR):
```
BeCuC2
1.0
-1.637 1.637 5.981
1.637 -1.637 5.981
1.637 1.637 -5.981
Be Cu C
2 2 4
direct
0.000 0.000 0.000
0.750 0.250 0.500
0.250 0.750 0.500
0.500 0.500 0.000
0.010 0.625 0.885
0.375 0.260 0.385
0.740 0.125 0.115
0.875 0.990 0.615
```


[26]
The following is a DFT calculation (GGA-PBEsol) of a relaxed BeCu2GeC crystal.

Structure (POSCAR):
```
BeCu2GeC
1.0
4.495 0.000 0.000
0.000 4.495 0.000
0.000 0.000 3.707
Be Cu Ge C
1 2 1 1
direct
0.000 0.000 0.000
0.000 0.500 0.500
0.500 0.000 0.500
0.500 0.500 0.500
0.500 0.500 0.000
```


Number 1: energy -20.41 eV for the cell shown, total magnetic moment 0.00 μB/f.u.. Number 2: energy -11.69 eV for the cell shown, total magnetic moment 0.00 μB/f.u.. Number 3: energy -10.20 eV for the cell shown, total magnetic moment 0.00 μB/f.u.. Number 4: energy -7.92 eV for the cell shown, total magnetic moment 0.00 μB/f.u.. Number 5: energy -7.80 eV for the cell shown, total magnetic moment 0.00 μB/f.u.. Number 6: energy -7.13 eV for the cell shown, total magnetic moment 0.00 μB/f.u.. Number 7: energy -8.20 eV for the cell shown, total magnetic moment 0.00 μB/f.u.. Number 8: energy -16.57 eV for the cell shown, total magnetic moment 0.00 μB/f.u.. Number 9: energy -17.97 eV for the cell shown, total magnetic moment 0.00 μB/f.u.. Number 10: energy -17.75 eV for the cell shown, total magnetic moment 0.00 μB/f.u.. Number 11: energy -18.38 eV for the cell shown, total magnetic moment 0.00 μB/f.u.. Number 12: energy -16.83 eV for the cell shown, total magnetic moment 0.00 μB/f.u.. Number 13: energy -51.85 eV for the cell shown, total magnetic moment 0.00 μB/f.u.. Number 14: energy -34.50 eV for the cell shown, total magnetic moment 0.00 μB/f.u.. Number 15: energy -41.74 eV for the cell shown, total magnetic moment 0.00 μB/f.u.. Number 16: energy -57.44 eV for the cell shown, total magnetic moment 0.00 μB/f.u.. Number 17: energy -16.91 eV for the cell shown, total magnetic moment 0.00 μB/f.u.. Number 18: energy -23.72 eV for the cell shown, total magnetic moment 0.00 μB/f.u.. Number 19: energy -18.41 eV for the cell shown, total magnetic moment 0.00 μB/f.u.. Number 20: energy -24.97 eV for the cell shown, total magnetic moment 0.00 μB/f.u.. Number 21: energy -26.06 eV for the cell shown, total magnetic moment 0.00 μB/f.u.. Number 22: energy -11.60 eV for the cell shown, total magnetic moment 0.00 μB/f.u.. Number 23: energy -28.38 eV for the cell shown, total magnetic moment 1.00 μB/f.u.. Number 24: energy -33.30 eV for the cell shown, total magnetic moment 2.03 μB/f.u.. Number 25: energy -45.62 eV for the cell shown, total magnetic moment 0.00 μB/f.u.. Number 26: energy -19.06 eV for the cell shown, total magnetic moment 0.00 μB/f.u..